Entry 1:
The following is a DFT calculation (PBE) of a relaxed ScTe2SeI crystal.

ΔE_f (raw)   0.227 eV per atom
Relative energy among the computed polymorphs   24.8 kJ/mol of atoms

Lattice parameters (Å, degrees): 5.439 5.439 5.660 90.00 90.00 90.00
Atoms (fractional coordinates):
Se1 0.000 0.000 0.000
Te1 0.500 0.000 0.000
Sc1 0.500 0.500 0.500
Te2 0.000 0.500 0.000
I1 0.000 0.000 0.500

---

Entry 2:
The following is a DFT calculation (PBE) of a relaxed CsBi2Te crystal.

ΔE_f (raw)   -0.022 eV per atom

Lattice parameters (Å, degrees): 9.904 9.904 7.815 50.68 50.68 90.00
Atoms (fractional coordinates):
Bi1 0.875 0.817 0.750
Te1 0.500 0.500 0.000
Te2 0.250 0.750 0.500
Cs1 0.000 0.000 0.000
Bi2 0.375 0.433 0.750
Bi3 0.567 0.125 0.250
Bi4 0.183 0.625 0.250
Cs2 0.750 0.250 0.500

---

Entry 3:
The following is a DFT calculation (PBE) of a relaxed AcTlCdPt crystal.

Energy relative to the elements   -0.41 eV per atom

Lattice parameters (Å, degrees): 5.277 5.277 5.277 60.00 60.00 60.00
Atoms (fractional coordinates):
Cd1 0.500 0.500 0.500
Ac1 0.000 0.000 0.000
Pt1 0.750 0.750 0.750
Tl1 0.250 0.250 0.250

---

Entry 4:
The following is a DFT calculation (PBE) of a relaxed CdAs2P crystal.

Energy relative to the elements   0.16 eV per atom
Relative energy among the computed polymorphs   5.1 kJ/mol of atoms

Lattice parameters (Å, degrees): 5.868 5.868 7.330 66.41 66.41 90.00
Atoms (fractional coordinates):
As1 0.165 0.625 0.250
P1 0.500 0.500 0.000
As2 0.375 0.415 0.750
As3 0.585 0.125 0.250
P2 0.250 0.750 0.500
As4 0.875 0.835 0.750
Cd1 0.750 0.250 0.500
Cd2 0.000 0.000 0.000

---

Entry 5:
The following is a DFT calculation (PBE) of a relaxed K2Cd4InPb3 crystal.

Energy relative to the elements   -0.08 eV per atom

Lattice parameters (Å, degrees): 4.962 4.962 12.982 90.00 90.00 90.00
Atoms (fractional coordinates):
Cd1 0.500 0.000 0.638
K1 0.500 0.000 0.247
Pb1 0.000 0.000 0.500
Cd2 0.000 0.000 0.000
Cd3 0.500 0.500 0.000
Pb2 0.000 0.500 0.135
K2 0.000 0.500 0.753
In1 0.500 0.500 0.500
Cd4 0.000 0.500 0.362
Pb3 0.500 0.000 0.865

---

Entry 6:
The following is a DFT calculation (PBE) of a relaxed Ce2YZn6 crystal.

Energy relative to the elements   -0.31 eV per atom

Lattice parameters (Å, degrees): 3.425 7.911 7.911 120.00 90.00 90.00
Atoms (fractional coordinates):
Zn1 0.500 0.670 0.670
Zn2 0.500 0.000 0.330
Zn3 0.500 0.670 0.000
Zn4 0.500 0.330 0.000
Y1 0.000 0.000 0.000
Ce1 0.000 0.333 0.667
Zn5 0.500 0.000 0.670
Zn6 0.500 0.330 0.330
Ce2 0.000 0.667 0.333

---

Entry 7:
The following is a DFT calculation (PBE) of a relaxed SiHgIr2 crystal.

ΔE_f (raw)   0.391 eV per atom
Relative energy among the computed polymorphs   56.2 kJ/mol of atoms

Lattice parameters (Å, degrees): 2.795 2.795 10.416 90.00 90.00 120.51
Atoms (fractional coordinates):
Hg1 0.500 0.500 0.772
Ir1 0.500 0.500 0.252
Si1 0.000 0.000 0.447
Ir2 0.000 0.000 0.028

---

Entry 8:
The following is a DFT calculation (PBE) of a relaxed KSn3 crystal.

Energy relative to the elements   -0.03 eV per atom

Lattice parameters (Å, degrees): 4.893 4.893 4.893 90.00 90.00 90.00
Atoms (fractional coordinates):
Sn1 0.500 0.000 0.500
Sn2 0.500 0.500 0.000
Sn3 0.000 0.500 0.500
K1 0.000 0.000 0.000